P:
Material: Co2Os2O
Method: DFT, PBE with a Hubbard U
State: relaxed

abc: 3.430 3.430 12.830
angles: 90.00 90.00 90.00
Space group I4/mmm (No. 139)
Asymmetric unit:
Co  0.000  0.000  0.090
Os  0.000  0.500  0.250
O  0.000  0.000  0.500

Its total moment is 10.7 μB per cell. Its crystal system is tetragonal.

=====

Q:
Material: Co2Os2O
Method: DFT, PBE with a Hubbard U
State: relaxed

abc: 7.243 7.243 2.623
angles: 90.00 90.00 90.00
Space group P4/mbm (No. 127)
Asymmetric unit:
Co  0.171  0.329  0.000
Os  0.124  0.624  0.500
O  0.000  0.000  0.000

Its total moment is 10.0 μB per cell. Its crystal system is tetragonal.

=====

Preferred: P; penalty for the next structure: 98 meV/atom.

=====

P:
Material: CoOs3O
Method: DFT, PBE with a Hubbard U
State: relaxed

abc: 4.422 4.422 4.422
angles: 90.00 90.00 90.00
Space group Pm-3m (No. 221)
Asymmetric unit:
Co  0.000  0.000  0.000
Os  0.000  0.000  0.500
O  0.500  0.500  0.500

Its total moment is 6.4 μB per cell. Its crystal system is cubic.

=====

Q:
Material: CoOs3O
Method: DFT, PBE with a Hubbard U
State: relaxed

abc: 4.042 4.042 4.042
angles: 90.00 90.00 90.00
Space group Pm-3m (No. 221)
Asymmetric unit:
Co  0.000  0.000  0.000
Os  0.000  0.500  0.500
O  0.500  0.500  0.500

Its total moment is 3.2 μB per cell. Its crystal system is cubic.

=====

Preferred: Q; penalty for the next structure: 1546 meV/atom.

=====

P:
Material: CoPOsO2
Method: DFT, PBE with a Hubbard U
State: relaxed

abc: 3.712 3.712 5.316
angles: 90.00 90.00 90.00
Space group P4/mmm (No. 123)
Asymmetric unit:
Co  0.000  0.000  0.000
P  0.500  0.500  0.000
Os  0.500  0.500  0.500
O  0.000  0.500  0.500

Its total moment is 1.8 μB per cell. Its crystal system is tetragonal.

=====

Q:
Material: CoPOsO2
Method: DFT, PBE with a Hubbard U
State: relaxed

abc: 3.443 3.443 6.667
angles: 90.00 90.00 90.00
Space group P4/mmm (No. 123)
Asymmetric unit:
Co  0.000  0.000  0.000
P  0.000  0.000  0.500
Os  0.500  0.500  0.500
O  0.000  0.500  0.000

Its total moment is 4.5 μB per cell. Its crystal system is tetragonal.

=====

Preferred: P; penalty for the next structure: 633 meV/atom.

=====

P:
Material: CoP3O
Method: DFT, PBE with a Hubbard U
State: relaxed

abc: 4.029 4.029 4.029
angles: 90.00 90.00 90.00
Space group Pm-3m (No. 221)
Asymmetric unit:
Co  0.000  0.000  0.000
P  0.000  0.500  0.500
O  0.500  0.500  0.500

Its total moment is 0.0 μB per cell. Its crystal system is cubic.

=====

Q:
Material: CoP3O
Method: DFT, PBE with a Hubbard U
State: relaxed

abc: 4.222 4.222 4.222
angles: 90.00 90.00 90.00
Space group Pm-3m (No. 221)
Asymmetric unit:
Co  0.000  0.000  0.000
P  0.000  0.000  0.500
O  0.500  0.500  0.500

Its total moment is 0.0 μB per cell. Its crystal system is cubic.

=====

Preferred: P; penalty for the next structure: 114 meV/atom.

=====

P:
Material: Co3P4O16
Method: DFT, PBE with a Hubbard U
State: relaxed

abc: 4.971 7.793 7.858
angles: 96.44 94.01 90.53
Space group P1 (No. 1)
Asymmetric unit:
Co  0.000  0.000  0.000
Co  0.111  0.898  0.373
Co  0.483  0.448  0.559
P  0.002  0.678  0.702
P  0.483  0.175  0.847
P  0.509  0.818  0.158
P  0.986  0.280  0.327
O  0.020  0.122  0.432
O  0.039  0.774  0.891
O  0.070  0.807  0.576
O  0.177  0.519  0.694
O  0.181  0.112  0.840
O  0.244  0.396  0.361
O  0.315  0.977  0.148
O  0.432  0.761  0.331
O  0.468  0.688  0.999
O  0.525  0.316  0.003
O  0.533  0.242  0.675
O  0.669  0.020  0.873
O  0.700  0.626  0.673
O  0.751  0.390  0.383
O  0.816  0.880  0.178
O  0.949  0.218  0.130

Its total moment is 2.4 μB per cell. Its crystal system is triclinic.

=====

Q:
Material: Co3P4O16
Method: DFT, PBE with a Hubbard U
State: relaxed

abc: 8.305 5.175 16.054
angles: 90.00 112.01 90.00
Space group P2_1/c (No. 14)
Asymmetric unit:
Co  0.000  0.000  0.000
Co  0.324  0.147  0.300
P  0.014  0.009  0.642
P  0.425  0.112  0.121
O  0.033  0.735  0.926
O  0.051  0.736  0.099
O  0.142  0.026  0.329
O  0.176  0.073  0.725
O  0.256  0.100  0.039
O  0.398  0.058  0.210
O  0.452  0.105  0.888
O  0.482  0.631  0.878

Its total moment is 30.2 μB per cell. Its crystal system is monoclinic.

=====

Preferred: Q; penalty for the next structure: 57 meV/atom.

=====

P:
Material: Co2P3O10
Method: DFT, PBE with a Hubbard U
State: relaxed

abc: 4.712 8.450 8.951
angles: 90.00 98.50 90.00
Space group P2_1/m (No. 11)
Asymmetric unit:
Co  0.052  0.070  0.330
P  0.331  0.250  0.813
P  0.389  0.750  0.461
P  0.474  0.250  0.149
O  0.169  0.098  0.788
O  0.214  0.750  0.766
O  0.225  0.597  0.489
O  0.301  0.250  0.454
O  0.313  0.099  0.179
O  0.407  0.750  0.284
O  0.478  0.750  0.024

Its total moment is 14.0 μB per cell. Its crystal system is monoclinic.

=====

Q:
Material: Co2P3O10
Method: DFT, PBE with a Hubbard U
State: relaxed

abc: 7.797 8.175 9.640
angles: 96.28 111.88 112.52
Space group P-1 (No. 2)
Asymmetric unit:
Co  0.178  0.238  0.446
Co  0.294  0.705  0.029
P  0.141  0.533  0.260
P  0.164  0.896  0.243
P  0.226  0.137  0.763
O  0.082  0.171  0.840
O  0.100  0.581  0.824
O  0.123  0.934  0.676
O  0.190  0.744  0.332
O  0.226  0.882  0.112
O  0.230  0.534  0.142
O  0.239  0.474  0.399
O  0.261  0.272  0.669
O  0.281  0.081  0.365
O  0.429  0.193  0.915

Its total moment is 14.0 μB per cell. Its crystal system is triclinic.

=====

Preferred: Q; penalty for the next structure: 10 meV/atom.